Compound: Sc2MoF11
Source: Alexandria via LeMat-Bulk
Functional: PBE+U
Structure: optimized geometry

Cell and atoms, written as CIF:
```
data_Sc2MoF11
_chemical_formula_sum 'Sc8 Mo4 F44'
_cell_length_a 7.419
_cell_length_b 9.691
_cell_length_c 10.367
_cell_angle_alpha 90.00
_cell_angle_beta 90.00
_cell_angle_gamma 90.00
_symmetry_space_group_name_H-M 'I b a m'
_symmetry_Int_Tables_number 72
_symmetry_space_group_name_Hall '-I 2 2c'
loop_
_atom_site_label
_atom_site_type_symbol
_atom_site_fract_x
_atom_site_fract_y
_atom_site_fract_z
Sc1 Sc 0.134 0.181 0.000
Mo1 Mo 0.000 0.500 0.250
F1 F 0.000 0.000 0.000
F2 F 0.094 0.334 0.151
F3 F 0.132 0.223 0.500
F4 F 0.216 0.434 0.356
```

Values from the calculation:
* E_tot: -6.055 eV per atom